DFT (PBE) results for a geometry-optimized SrGaP2 structure.

Summary:
- space group = R-3m (166)
- energy of formation (eV/f.u.) = 1.05
- ρ (Mg/m³) = 3.52

a b c (Å): 8.908 8.908 8.908
angles (deg): 24.09 24.09 24.09
Fractional coordinates of all 4 atoms:
Sr (0.000, 0.000, 0.000)
Ga (0.500, 0.500, 0.500)
P (0.114, 0.114, 0.114)
P (0.886, 0.886, 0.886)



DFT (PBE) results for a geometry-optimized Sr2GaP structure.

Summary:
- space group = Fm-3m (225)
- relative energy among the computed polymorphs (kJ/mol of formula units) = 0.0
- energy of formation (eV/f.u.) = -1.88
- ρ (Mg/m³) = 4.15

a b c (Å): 5.385 5.385 5.385
angles (deg): 60.00 60.00 60.00
Fractional coordinates of all 4 atoms:
Sr (0.250, 0.250, 0.250)
Sr (0.750, 0.750, 0.750)
Ga (0.000, 0.000, 0.000)
P (0.500, 0.500, 0.500)



DFT (PBE) results for a geometry-optimized Sr2GaP structure.

Summary:
- space group = R-3m (166)
- relative energy among the computed polymorphs (kJ/mol of formula units) = 31.1
- energy of formation (eV/f.u.) = -1.56
- ρ (Mg/m³) = 2.84

a b c (Å): 10.225 10.225 10.225
angles (deg): 24.46 24.46 24.46
Fractional coordinates of all 4 atoms:
Sr (0.113, 0.113, 0.113)
Sr (0.887, 0.887, 0.887)
Ga (0.000, 0.000, 0.000)
P (0.500, 0.500, 0.500)



DFT (PBE) results for a geometry-optimized Sr2GaP2 structure.

Summary:
- space group = I4/mmm (139)
- relative energy among the computed polymorphs (kJ/mol of formula units) = 196.7
- energy of formation (eV/f.u.) = -1.80
- ρ (Mg/m³) = 4.01

a b c (Å): 9.812 9.812 9.812
angles (deg): 158.48 158.48 30.61
Fractional coordinates of all 5 atoms:
Sr (0.117, 0.117, 0.000)
Sr (0.883, 0.883, 0.000)
Ga (0.500, 0.500, 0.000)
P (0.250, 0.750, 0.500)
P (0.750, 0.250, 0.500)



Calculated size of the total moment in order - 0.09; 0.00; 0.00; 0.00 μB/cell